No. 1
A relaxed structure of YIn2Sn2. Source: Alexandria, functional PBE-GGA.

a = 8.1599 Å, b = 8.1599 Å, c = 4.0699 Å
α = 90.00°, β = 90.00°, γ = 90.00°
Element x y z (fractional)
Y 0.0000 0.0000 0.0000
Y 0.5000 0.5000 0.0000
Sn 0.1683 0.6683 0.5000
Sn 0.6683 0.8317 0.5000
Sn 0.8317 0.3317 0.5000
Sn 0.3317 0.1683 0.5000
In 0.3710 0.8710 0.0000
In 0.8710 0.6290 0.0000
In 0.6290 0.1290 0.0000
In 0.1290 0.3710 0.0000

* total magnetic moment: 0.0 μB/f.u.
* total energy: -4.14 eV/atom
* SG: P4/mbm (127)
* energy of formation from the pure elements: -155 meV per atom
* ΔE to the lowest computed polymorph: 0.780 eV per formula unit

***

No. 2
A relaxed structure of Ac8La3Pr4. Source: Alexandria, functional PBE-GGA.

a = 7.3348 Å, b = 9.9601 Å, c = 9.9601 Å
α = 82.40°, β = 111.37°, γ = 111.37°
Element x y z (fractional)
Ac 0.2628 0.2471 0.2471
Ac 0.0000 0.7046 0.2954
Ac 0.8067 0.2951 0.2951
Ac 0.5000 0.7527 0.2473
Ac 0.5000 0.2473 0.7527
Ac 0.1933 0.7049 0.7049
Ac 0.0000 0.2954 0.7046
Ac 0.7372 0.7529 0.7529
La 0.5000 0.5000 0.0000
La 0.5000 0.0000 0.5000
La 0.5000 0.5000 0.5000
Pr 0.5000 0.0000 0.0000
Pr 0.0000 0.5000 0.0000
Pr 0.0000 0.0000 0.0000
Pr 0.0000 0.0000 0.5000

* total magnetic moment: 0.2 μB/f.u.
* total energy: -4.14 eV/atom
* SG: C2/m (12)
* energy of formation from the pure elements: 313 meV per atom

***

No. 3
A relaxed structure of La2AlFeAg. Source: Alexandria, functional PBE-GGA.

a = 5.2040 Å, b = 5.2040 Å, c = 4.6975 Å
α = 90.00°, β = 90.00°, γ = 90.00°
Element x y z (fractional)
Al 0.0000 0.0000 0.5000
Fe 0.0000 0.0000 0.0000
Ag 0.5000 0.5000 0.5000
La 0.0000 0.5000 0.0000
La 0.5000 0.0000 0.0000

* total magnetic moment: 0.0 μB/f.u.
* total energy: -5.14 eV/atom
* SG: P4/mmm (123)
* energy of formation from the pure elements: -162 meV per atom

***

No. 4
A relaxed structure of Pa2TaVN6. Source: Alexandria, functional PBE-GGA.

a = 5.5878 Å, b = 5.5878 Å, c = 5.6445 Å
α = 60.33°, β = 60.33°, γ = 60.00°
Site moments in Bohr magnetons follow the coordinates.
Element x y z (fractional)
Pa 0.5372 0.5372 0.3885  0.25
Pa 0.0337 0.0337 0.8989  0.27
Ta 0.8088 0.8088 0.5736  0.16
V 0.3141 0.3142 0.0575  1.27
N 0.5954 0.1783 0.2627  -0.03
N 0.1784 0.9636 0.2626  -0.03
N 0.9636 0.5953 0.2627  -0.03
N 0.4651 0.6701 0.7695  -0.02
N 0.6701 0.0953 0.7695  -0.02
N 0.0952 0.4651 0.7696  -0.02

* total magnetic moment: 2.0 μB/f.u.
* total energy: -10.29 eV/atom
* SG: R3 (146)
* formation energy (no corrections): -1302 meV per atom

***

No. 5
A relaxed structure of K3NbS4. Source: Alexandria, functional PBE-GGA.

a = 7.3421 Å, b = 7.3421 Å, c = 7.3421 Å
α = 93.30°, β = 115.30°, γ = 121.01°
Element x y z (fractional)
K 0.5494 0.2292 0.7785
K 0.0324 0.0000 0.0324
K 0.5494 0.7708 0.3202
Nb 0.0079 0.5000 0.5079
S 0.1691 0.6907 0.8598
S 0.1691 0.3093 0.4784
S 0.5839 0.2470 0.3369
S 0.0899 0.7530 0.3369

* total magnetic moment: 0.0 μB/f.u.
* total energy: -4.85 eV/atom
* SG: Imm2 (44)
* formation energy (no corrections): -1120 meV per atom

***

No. 6
A relaxed structure of EuZnB5O10. Source: Alexandria, functional PBE-GGA.

a = 7.6793 Å, b = 8.8118 Å, c = 12.6865 Å
α = 48.52°, β = 90.00°, γ = 90.00°
Site moments in Bohr magnetons follow the coordinates.
Element x y z (fractional)
Eu 0.6847 0.0500 0.2612  6.30
Eu 0.8153 0.0500 0.7612  6.30
Eu 0.3153 0.9500 0.7388  6.30
Eu 0.1847 0.9500 0.2388  6.30
Zn 0.5886 0.5165 0.8754  0.00
Zn 0.9114 0.5165 0.3754  0.00
Zn 0.4114 0.4835 0.1246  0.00
Zn 0.0886 0.4835 0.6246  0.00
B 0.8253 0.9092 0.1054  0.00
B 0.6747 0.9092 0.6054  0.00
B 0.1747 0.0908 0.8946  0.00
B 0.3253 0.0908 0.3946  0.00
B 0.5993 0.8473 0.9987  0.00
B 0.9007 0.8473 0.4987  0.00
B 0.4007 0.1527 0.0013  0.00
B 0.0993 0.1527 0.5013  0.00
B 0.5771 0.6527 0.2604  0.00
B 0.9229 0.6527 0.7604  0.00
B 0.4229 0.3473 0.7396  0.00
B 0.0771 0.3473 0.2396  0.00
B 0.3143 0.5170 0.4139  0.00
B 0.1857 0.5170 0.9139  0.00
B 0.6857 0.4830 0.5861  0.00
B 0.8143 0.4830 0.0861  0.00
B 0.5309 0.2738 0.4459  0.00
B 0.9691 0.2738 0.9459  0.00
B 0.4691 0.7262 0.5541  0.00
B 0.0309 0.7262 0.0541  0.00
O 0.8940 0.0878 0.0809  -0.05
O 0.6060 0.0878 0.5809  -0.05
O 0.1060 0.9122 0.9191  -0.05
O 0.3940 0.9122 0.4191  -0.05
O 0.9699 0.7653 0.1467  -0.05
O 0.5301 0.7653 0.6467  -0.05
O 0.0301 0.2347 0.8533  -0.05
O 0.4699 0.2347 0.3533  -0.05
O 0.7257 0.9738 0.9830  -0.02
O 0.7743 0.9738 0.4830  -0.02
O 0.2743 0.0262 0.0170  -0.02
O 0.2257 0.0262 0.5170  -0.02
O 0.5471 0.8847 0.8814  -0.10
O 0.9529 0.8847 0.3814  -0.10
O 0.4529 0.1153 0.1186  -0.10
O 0.0471 0.1153 0.6186  -0.10
O 0.5345 0.6868 0.1299  -0.01
O 0.9655 0.6868 0.6299  -0.01
O 0.4655 0.3132 0.8701  -0.01
O 0.0345 0.3132 0.3701  -0.01
O 0.7111 0.7972 0.2316  -0.05
O 0.7889 0.7972 0.7316  -0.05
O 0.2889 0.2028 0.7684  -0.05
O 0.2111 0.2028 0.2684  -0.05
O 0.4135 0.6795 0.3067  -0.01
O 0.0865 0.6795 0.8067  -0.01
O 0.5865 0.3205 0.6933  -0.01
O 0.9135 0.3205 0.1933  -0.01
O 0.1537 0.5685 0.4325  -0.04
O 0.3463 0.5685 0.9325  -0.04
O 0.8463 0.4315 0.5675  -0.04
O 0.6537 0.4315 0.0675  -0.04
O 0.3743 0.3224 0.4913  -0.02
O 0.1257 0.3224 0.9913  -0.02
O 0.6257 0.6776 0.5087  -0.02
O 0.8743 0.6776 0.0087  -0.02
O 0.6496 0.4478 0.3666  -0.02
O 0.8504 0.4478 0.8666  -0.02
O 0.3504 0.5522 0.6334  -0.02
O 0.1496 0.5522 0.1334  -0.02

* total magnetic moment: 6.0 μB/f.u.
* total energy: -7.95 eV/atom
* SG: P2_1/c (14)
* formation energy (no corrections): -2389 meV per atom

***

No. 7
A relaxed structure of SrTb2Ag3. Source: Alexandria, functional PBE-GGA.

a = 3.7131 Å, b = 3.7131 Å, c = 11.3699 Å
α = 90.00°, β = 90.00°, γ = 90.00°
Element x y z (fractional)
Sr 0.5000 0.5000 0.5000
Tb 0.5000 0.5000 0.8391
Tb 0.5000 0.5000 0.1609
Ag 0.0000 0.0000 0.0000
Ag 0.0000 0.0000 0.6951
Ag 0.0000 0.0000 0.3049

* total magnetic moment: 0.0 μB/f.u.
* total energy: -3.54 eV/atom
* SG: P4/mmm (123)
* energy of formation from the pure elements: -292 meV per atom

***

No. 8
A relaxed structure of HfP2IrO. Source: Alexandria, functional PBE-GGA.

a = 5.0397 Å, b = 5.0397 Å, c = 3.8055 Å
α = 90.00°, β = 90.00°, γ = 90.00°
Site moments in Bohr magnetons follow the coordinates.
Element x y z (fractional)
P 0.0000 0.5000 0.0000  0.00
P 0.5000 0.0000 0.0000  0.00
Ir 0.5000 0.5000 0.5000  0.07
Hf 0.0000 0.0000 0.0000  0.00
O 0.0000 0.0000 0.5000  0.00

* total magnetic moment: 0.1 μB/f.u.
* total energy: -6.81 eV/atom
* SG: P4/mmm (123)
* formation energy (no corrections): 111 meV per atom
* ΔE to the lowest computed polymorph: 0.874 eV per formula unit

***

No. 9
A relaxed structure of Np2TcAu. Source: Alexandria, functional PBE-GGA.

a = 3.1804 Å, b = 3.1804 Å, c = 8.2102 Å
α = 90.00°, β = 90.00°, γ = 90.00°
Site moments in Bohr magnetons follow the coordinates.
Element x y z (fractional)
Np 0.0000 0.0000 0.7776  3.84
Np 0.0000 0.0000 0.2224  3.84
Au 0.5000 0.5000 0.5000  0.06
Tc 0.5000 0.5000 0.0000  -0.62

* total magnetic moment: 7.7 μB/f.u.
* total energy: -9.83 eV/atom
* SG: P4/mmm (123)
* energy of formation from the pure elements: 53 meV per atom

***

No. 10
A relaxed structure of BeCdF2. Source: Alexandria, functional PBE-GGA.

a = 4.2334 Å, b = 4.2334 Å, c = 4.2334 Å
α = 60.00°, β = 60.00°, γ = 60.00°
Element x y z (fractional)
Be 0.0000 0.0000 0.0000
F 0.2500 0.2500 0.2500
F 0.7500 0.7500 0.7500
Cd 0.5000 0.5000 0.5000

* total magnetic moment: 0.0 μB/f.u.
* total energy: -2.78 eV/atom
* SG: Fm-3m (225)
* formation energy (no corrections): -681 meV per atom
* ΔE to the lowest computed polymorph: 5.601 eV per formula unit

***

No. 11
A relaxed structure of Er2LuHf. Source: Alexandria, functional PBE-GGA.

a = 4.7738 Å, b = 4.7926 Å, c = 4.7926 Å
α = 90.00°, β = 90.00°, γ = 90.00°
Element x y z (fractional)
Lu 0.5000 0.5000 0.5000
Hf 0.5000 0.0000 0.0000
Er 0.0000 0.0000 0.5000
Er 0.0000 0.5000 0.0000

* total magnetic moment: 0.0 μB/f.u.
* total energy: -5.77 eV/atom
* SG: P4/mmm (123)
* energy of formation from the pure elements: 126 meV per atom
* ΔE to the lowest computed polymorph: 0.000 eV per formula unit

***

No. 12
A relaxed structure of Al2PCl. Source: Alexandria, functional PBE-GGA.

a = 3.7280 Å, b = 5.9646 Å, c = 3.5265 Å
α = 90.00°, β = 90.00°, γ = 90.00°
Element x y z (fractional)
P 0.0000 0.5000 0.5000
Al 0.0000 0.0000 0.0000
Al 0.5000 0.5000 0.0000
Cl 0.5000 0.0000 0.5000

* total magnetic moment: 0.0 μB/f.u.
* total energy: -3.63 eV/atom
* SG: Pmmm (47)
* formation energy (no corrections): 60 meV per atom
* ΔE to the lowest computed polymorph: 1.501 eV per formula unit

***

No. 13
A relaxed structure of Na2SnI4. Source: Alexandria, functional PBE-GGA.

a = 6.2270 Å, b = 6.2270 Å, c = 9.3391 Å
α = 70.53°, β = 70.53°, γ = 90.00°
Element x y z (fractional)
I 0.1884 0.1884 0.6232
I 0.8116 0.8116 0.3768
I 0.0000 0.5000 0.0000
I 0.5000 0.0000 0.0000
Na 0.3698 0.3698 0.2604
Na 0.6302 0.6302 0.7396
Sn 0.0000 0.0000 0.0000

* total magnetic moment: 0.0 μB/f.u.
* total energy: -2.62 eV/atom
* SG: I4/mmm (139)
* formation energy (no corrections): -781 meV per atom
* ΔE to the lowest computed polymorph: 1.109 eV per formula unit

***

No. 14
A relaxed structure of Re2MoHPd. Source: Alexandria, functional PBE-GGA.

a = 3.9599 Å, b = 3.9599 Å, c = 3.9817 Å
α = 90.00°, β = 90.00°, γ = 90.00°
Element x y z (fractional)
Re 0.0000 0.5000 0.0000
Re 0.5000 0.0000 0.0000
Mo 0.0000 0.0000 0.5000
Pd 0.5000 0.5000 0.5000
H 0.0000 0.0000 0.0000

* total magnetic moment: 0.0 μB/f.u.
* total energy: -8.72 eV/atom
* SG: P4/mmm (123)

***

No. 15
A relaxed structure of Tl2FeTeIr. Source: Alexandria, functional PBE-GGA.

a = 5.9504 Å, b = 4.7175 Å, c = 5.9504 Å
α = 90.00°, β = 90.00°, γ = 90.00°
Site moments in Bohr magnetons follow the coordinates.
Element x y z (fractional)
Tl 0.0000 0.0000 0.5000  0.00
Tl 0.5000 0.0000 0.0000  -0.01
Ir 0.5000 0.5000 0.5000  1.61
Te 0.0000 0.0000 0.0000  0.02
Fe 0.0000 0.5000 0.0000  2.72

* total magnetic moment: 4.4 μB/f.u.
* total energy: -3.52 eV/atom
* SG: P4/mmm (123)
* formation energy (no corrections): 1521 meV per atom

***

No. 16
A relaxed structure of MnBeOs3. Source: Alexandria, functional PBE-GGA.

a = 4.0399 Å, b = 4.0399 Å, c = 4.0399 Å
α = 90.00°, β = 90.00°, γ = 90.00°
Element x y z (fractional)
Be 0.0000 0.0000 0.0000
Mn 0.5000 0.5000 0.5000
Os 0.0000 0.5000 0.0000
Os 0.0000 0.0000 0.5000
Os 0.5000 0.0000 0.0000

* total magnetic moment: 0.0 μB/f.u.
* total energy: -8.50 eV/atom
* SG: Pm-3m (221)
* energy of formation from the pure elements: 814 meV per atom
* ΔE to the lowest computed polymorph: 0.000 eV per formula unit

***

No. 17
A relaxed structure of ZnSiBr2. Source: Alexandria, functional PBE-GGA.

a = 5.1066 Å, b = 5.1066 Å, c = 5.1066 Å
α = 60.00°, β = 60.00°, γ = 60.00°
Element x y z (fractional)
Br 0.0000 0.0000 0.0000
Br 0.2500 0.2500 0.2500
Si 0.5000 0.5000 0.5000
Zn 0.7500 0.7500 0.7500

* total magnetic moment: 0.0 μB/f.u.
* total energy: -2.01 eV/atom
* SG: F-43m (216)
* formation energy (no corrections): 505 meV per atom
* ΔE to the lowest computed polymorph: 2.662 eV per formula unit

***

No. 18
A relaxed structure of K3Na2LiBr6. Source: Alexandria, functional PBE-GGA.

a = 7.6326 Å, b = 7.6326 Å, c = 7.7842 Å
α = 99.42°, β = 99.42°, γ = 120.03°
Element x y z (fractional)
K 0.1693 0.8307 0.5000
K 0.8307 0.1693 0.5000
K 0.5000 0.5000 0.5000
Na 0.3340 0.6660 0.0000
Na 0.6660 0.3340 0.0000
Li 0.0000 0.0000 0.0000
Br 0.9274 0.6056 0.7823
Br 0.7516 0.7516 0.2187
Br 0.0726 0.3944 0.2177
Br 0.6056 0.9274 0.7823
Br 0.2484 0.2484 0.7813
Br 0.3944 0.0726 0.2177

* total magnetic moment: 0.0 μB/f.u.
* total energy: -3.11 eV/atom
* SG: C2/m (12)
* formation energy (no corrections): -1619 meV per atom

***

No. 19
A relaxed structure of BiP2HIr. Source: Alexandria, functional PBE-GGA.

a = 5.1043 Å, b = 3.4999 Å, c = 5.1043 Å
α = 90.00°, β = 90.00°, γ = 90.00°
Element x y z (fractional)
P 0.0000 0.0000 0.5000
P 0.5000 0.0000 0.0000
Ir 0.5000 0.5000 0.5000
Bi 0.0000 0.0000 0.0000
H 0.0000 0.5000 0.0000

* total magnetic moment: 0.0 μB/f.u.
* total energy: -4.09 eV/atom
* SG: P4/mmm (123)

***

No. 20
A relaxed structure of ZnCrTcMo. Source: Alexandria, functional PBE-GGA.

a = 4.3405 Å, b = 4.3405 Å, c = 4.3405 Å
α = 60.00°, β = 60.00°, γ = 60.00°
Site moments in Bohr magnetons follow the coordinates.
Element x y z (fractional)
Zn 0.7500 0.7500 0.7500  0.01
Mo 0.2500 0.2500 0.2500  -0.43
Tc 0.0000 0.0000 0.0000  0.39
Cr 0.5000 0.5000 0.5000  2.56

* total magnetic moment: 2.7 μB/f.u.
* total energy: -7.91 eV/atom
* SG: F-43m (216)
* energy of formation from the pure elements: 110 meV per atom

***

No. 21
A relaxed structure of LiInSb. Source: Alexandria, functional PBE-GGA.

a = 5.6198 Å, b = 5.6198 Å, c = 5.6198 Å
α = 144.11°, β = 134.70°, γ = 59.10°
Element x y z (fractional)
In 0.0011 0.0011 0.0000
Li 0.3252 0.3252 0.0000
Sb 0.6737 0.6737 0.0000

* total magnetic moment: 0.0 μB/f.u.
* total energy: -3.11 eV/atom
* SG: Imm2 (44)
* formation energy (no corrections): -186 meV per atom
* ΔE to the lowest computed polymorph: 0.290 eV per formula unit

***

No. 22
A relaxed structure of As2PbAu. Source: Alexandria, functional PBE-GGA.

a = 5.4173 Å, b = 5.4173 Å, c = 3.0391 Å
α = 90.00°, β = 90.00°, γ = 90.00°
Element x y z (fractional)
Pb 0.0000 0.5000 0.5000
As 0.0000 0.0000 0.0000
As 0.5000 0.5000 0.0000
Au 0.5000 0.0000 0.5000

* total magnetic moment: 0.0 μB/f.u.
* total energy: -3.76 eV/atom
* SG: P4/mmm (123)
* energy of formation from the pure elements: 310 meV per atom

***

No. 23
A relaxed structure of Nd4SmEr3S8. Source: Alexandria, functional PBE-GGA.

a = 7.9095 Å, b = 8.0429 Å, c = 7.9095 Å
α = 119.45°, β = 120.00°, γ = 90.00°
Element x y z (fractional)
Nd 0.5000 0.0000 0.0000
Nd 0.5000 0.0000 0.5000
Nd 0.0000 0.0000 0.0000
Nd 0.0000 0.0000 0.5000
Sm 0.0000 0.5000 0.0000
Er 0.5000 0.5000 0.0000
Er 0.5000 0.5000 0.5000
Er 0.0000 0.5000 0.5000
S 0.2479 0.7338 0.9858
S 0.2479 0.7338 0.4959
S 0.2569 0.2706 0.5137
S 0.7379 0.7338 0.9858
S 0.2621 0.2662 0.0142
S 0.7431 0.7294 0.4863
S 0.7521 0.2662 0.5041
S 0.7521 0.2662 0.0142

* total magnetic moment: 0.0 μB/f.u.
* total energy: -6.41 eV/atom
* SG: R-3m (166)
* formation energy (no corrections): -2000 meV per atom